Entry from Alexandria via LeMat-Bulk: crystalline LiCaGdBi at its relaxed geometry (GGA-PBE).

## Properties
- DFT formation energy: -139 kJ/mol of formula units
- Mass density: 6.0 g/cm3

Structure (CIF):
```
data_LiCaGdBi
_cell_length_a 7.688
_cell_length_b 7.688
_cell_length_c 7.688
_cell_angle_alpha 90.00
_cell_angle_beta 90.00
_cell_angle_gamma 90.00
_space_group_name_H-M_alt 'F -4 3 m'
_space_group_IT_number 216
_space_group_name_Hall 'F -4 2 3'
loop_
_atom_site_label
_atom_site_type_symbol
_atom_site_fract_x
_atom_site_fract_y
_atom_site_fract_z
_atom_site_occupancy
Li1 Li 0.000 0.000 0.000 1
Ca1 Ca 0.250 0.250 0.750 1
Gd1 Gd 0.250 0.250 0.250 1
Bi1 Bi 0.000 0.000 0.500 1
```

***

Entry from Alexandria via LeMat-Bulk: crystalline TaVPd2 at its relaxed geometry (GGA-PBE).

## Properties
- Polymorph energy (0 for the lowest one): 260.4 meV per atom
- DFT formation energy: 93 kJ/mol of formula units
- Mass density: 11.1 g/cm3

Structure (CIF):
```
data_TaVPd2
_cell_length_a 7.066
_cell_length_b 7.066
_cell_length_c 5.325
_cell_angle_alpha 90.00
_cell_angle_beta 90.00
_cell_angle_gamma 90.00
_space_group_name_H-M_alt 'I -4 2 d'
_space_group_IT_number 122
_space_group_name_Hall 'I -4 2bw'
loop_
_atom_site_label
_atom_site_type_symbol
_atom_site_fract_x
_atom_site_fract_y
_atom_site_fract_z
_atom_site_occupancy
Ta1 Ta 0.000 0.000 0.000 1
V1 V 0.000 0.000 0.500 1
Pd1 Pd 0.236 0.250 0.625 1
```

***

Entry from Alexandria via LeMat-Bulk: crystalline BaZrN2O at its relaxed geometry (GGA-PBE).

## Properties
- Formation energy without anion corrections: 1.15 eV per atom
- Mass density: 5.0 g/cm3

Structure (CIF):
```
data_BaZrN2O
_cell_length_a 4.481
_cell_length_b 4.481
_cell_length_c 4.526
_cell_angle_alpha 90.00
_cell_angle_beta 90.00
_cell_angle_gamma 90.00
_space_group_name_H-M_alt 'P 4/m m m'
_space_group_IT_number 123
_space_group_name_Hall '-P 4 2'
loop_
_atom_site_label
_atom_site_type_symbol
_atom_site_fract_x
_atom_site_fract_y
_atom_site_fract_z
_atom_site_occupancy
Ba1 Ba 0.000 0.000 0.000 1
Zr1 Zr 0.500 0.500 0.500 1
N1 N 0.000 0.500 0.000 1
O1 O 0.000 0.000 0.500 1
```

***

Entry from Alexandria via LeMat-Bulk: crystalline YCu at its relaxed geometry (GGA-PBE).

## Properties
- DFT formation energy: -30 kJ/mol of formula units
- Mass density: 5.6 g/cm3

Structure (CIF):
```
data_YCu
_cell_length_a 8.2015
_cell_length_b 8.2015
_cell_length_c 4.6541
_cell_angle_alpha 90.00
_cell_angle_beta 90.00
_cell_angle_gamma 120.00
_space_group_name_H-M_alt 'P 63/m m c'
_space_group_IT_number 194
_space_group_name_Hall '-P 6c 2c'
loop_
_atom_site_label
_atom_site_type_symbol
_atom_site_fract_x
_atom_site_fract_y
_atom_site_fract_z
_atom_site_occupancy
Y1 Y 0.1872 0.3744 0.2500 1
Cu1 Cu 0.1230 0.5615 0.7500 1
```